A plane-wave DFT calculation with PBE+U was carried out for a relaxed CrCdF2 crystal.

Cell lengths 5.9372, 5.9372, 10.9665 Å; angles 90.00, 90.00, 90.00 degrees
Space group I-42d (No. 122)
One atom of each set of equivalent atoms:
Cr  0.0000  0.0000  0.0000 x4
Cd  0.0000  0.0000  0.5000 x4
F  0.0047  0.2500  0.1250 x8

**Calculated volume**: 24.2 Å³ per atom
**Energy relative to the lowest polymorph listed for this composition**: 72 meV/atom
**Magnetic moment**: 1.000 μB per atom